[1]
An optimized crystal structure of Cs12Tl3Br5. Source: Alexandria, functional GGA-PBE.

Summary:
Fermi-level density of states, states/eV/f.u.: 14.9
Symmetry: Ia-3d
Theoretical density, g cm⁻³: 3.11
Energy relative to the elements, uncorrected, eV per atom: -0.796
Total magnetization, Bohr magnetons per cell: 30.45

a b c (Å): 19.3410 19.3410 19.3410
angles (deg): 109.47 109.47 109.47
With the nearest neighbours (Å) after each atom.
Fractional coordinates of all 80 atoms:
Cs 0.1302 0.4151 0.0889  2 Br 3.48-3.71
Cs 0.8698 0.5849 0.9111  2 Br 3.48-3.71
Cs 0.9111 0.8262 0.5413  2 Br 3.48-3.71
Cs 0.0849 0.1738 0.2151  2 Br 3.48-3.71
Cs 0.1738 0.0849 0.7151  2 Br 3.48-3.71
Cs 0.9587 0.5889 0.1738  2 Br 3.48-3.71
Cs 0.2151 0.5413 0.6302  2 Br 3.48-3.71
Cs 0.8698 0.2849 0.4587  2 Br 3.48-3.71
Cs 0.4151 0.2849 0.3262  2 Br 3.48-3.71
Cs 0.2151 0.6738 0.0849  2 Br 3.48-3.71
Cs 0.5849 0.7151 0.6738  2 Br 3.48-3.71
Cs 0.9151 0.8262 0.7849  2 Br 3.48-3.71
Cs 0.1302 0.7151 0.5413  2 Br 3.48-3.71
Cs 0.7151 0.5849 0.1738  2 Br 3.48-3.71
Cs 0.2849 0.8698 0.9587  2 Br 3.48-3.71
Cs 0.9111 0.0849 0.8698  2 Br 3.48-3.71
Cs 0.9151 0.0889 0.6302  2 Br 3.48-3.71
Cs 0.5849 0.8698 0.4111  2 Br 3.48-3.71
Cs 0.3262 0.5413 0.4111  2 Br 3.48-3.71
Cs 0.4587 0.6738 0.0889  2 Br 3.48-3.71
Cs 0.3262 0.7849 0.4151  2 Br 3.48-3.71
Cs 0.4111 0.0413 0.3262  2 Br 3.48-3.71
Cs 0.0849 0.9111 0.3698  2 Br 3.48-3.71
Cs 0.5413 0.2151 0.1302  2 Br 3.48-3.71
Cs 0.3698 0.4111 0.0849  2 Br 3.48-3.71
Cs 0.9587 0.3698 0.2849  2 Br 3.48-3.71
Cs 0.4111 0.3698 0.5849  2 Br 3.48-3.71
Cs 0.5413 0.3262 0.9111  2 Br 3.48-3.71
Cs 0.8262 0.9111 0.0413  2 Br 3.48-3.71
Cs 0.7151 0.1302 0.0413  2 Br 3.48-3.71
Cs 0.5889 0.6302 0.4151  2 Br 3.48-3.71
Cs 0.0889 0.9151 0.1302  2 Br 3.48-3.71
Cs 0.5889 0.9587 0.6738  2 Br 3.48-3.71
Cs 0.0413 0.6302 0.7151  2 Br 3.48-3.71
Cs 0.4151 0.1302 0.5889  2 Br 3.48-3.71
Cs 0.2849 0.4151 0.8262  2 Br 3.48-3.71
Cs 0.4587 0.7849 0.8698  2 Br 3.48-3.71
Cs 0.0413 0.4111 0.8262  2 Br 3.48-3.71
Cs 0.7849 0.3262 0.9151  2 Br 3.48-3.71
Cs 0.0889 0.1738 0.4587  2 Br 3.48-3.71
Cs 0.6738 0.2151 0.5849  2 Br 3.48-3.71
Cs 0.8262 0.9151 0.2849  2 Br 3.48-3.71
Cs 0.6738 0.4587 0.5889  2 Br 3.48-3.71
Cs 0.7849 0.4587 0.3698  2 Br 3.48-3.71
Cs 0.3698 0.9587 0.7849  2 Br 3.48-3.71
Cs 0.6302 0.5889 0.9151  2 Br 3.48-3.71
Cs 0.1738 0.0889 0.9587  2 Br 3.48-3.71
Cs 0.6302 0.0413 0.2151  2 Br 3.48-3.71
Br 0.2500 0.3750 0.6250  4 Cs 3.48
Br 0.3750 0.2500 0.1250  4 Cs 3.48
Br 0.8750 0.6250 0.7500  4 Cs 3.48
Br 0.6250 0.7500 0.8750  4 Cs 3.48
Br 0.6250 0.8750 0.2500  4 Cs 3.48
Br 0.8750 0.2500 0.6250  4 Cs 3.48
Br 0.0000 0.5000 0.5000  6 Cs 3.71
Br 0.7500 0.1250 0.8750  4 Cs 3.48
Br 0.1250 0.3750 0.2500  4 Cs 3.48
Br 0.2500 0.8750 0.1250  4 Cs 3.48
Br 0.5000 0.5000 0.5000  6 Cs 3.71
Br 0.0000 0.5000 0.0000  6 Cs 3.71
Br 0.0000 0.0000 0.5000  6 Cs 3.71
Br 0.5000 0.0000 0.0000  6 Cs 3.71
Br 0.5000 0.5000 0.0000  6 Cs 3.71
Br 0.0000 0.0000 0.0000  6 Cs 3.71
Br 0.5000 0.0000 0.5000  6 Cs 3.71
Br 0.3750 0.1250 0.7500  4 Cs 3.48
Br 0.1250 0.7500 0.3750  4 Cs 3.48
Br 0.7500 0.6250 0.3750  4 Cs 3.48
Tl 0.1250 0.8750 0.7500  8 Cs 4.19-4.25
Tl 0.3750 0.7500 0.6250  8 Cs 4.19-4.25
Tl 0.8750 0.7500 0.1250  8 Cs 4.19-4.25
Tl 0.2500 0.1250 0.3750  8 Cs 4.19-4.25
Tl 0.1250 0.2500 0.8750  8 Cs 4.19-4.25
Tl 0.7500 0.3750 0.1250  8 Cs 4.19-4.25
Tl 0.3750 0.6250 0.2500  8 Cs 4.19-4.25
Tl 0.7500 0.8750 0.6250  8 Cs 4.19-4.25
Tl 0.2500 0.6250 0.8750  8 Cs 4.19-4.25
Tl 0.8750 0.1250 0.2500  8 Cs 4.19-4.25
Tl 0.6250 0.3750 0.7500  8 Cs 4.19-4.25
Tl 0.6250 0.2500 0.3750  8 Cs 4.19-4.25

[2]
An optimized crystal structure of Cs2Tl2Br5. Source: Alexandria, functional GGA-PBE.

Summary:
Fermi-level density of states, states/eV/f.u.: 1.4
Symmetry: Ima2
Theoretical density, g cm⁻³: 4.30
Energy relative to the elements, uncorrected, eV per atom: -1.193
Total magnetization, Bohr magnetons per cell: 0.00

a b c (Å): 8.4767 8.0318 13.5072
angles (deg): 107.30 108.29 90.00
With the nearest neighbours (Å) after each atom.
Fractional coordinates of all 18 atoms:
Br 0.7597 0.2431 0.0177  2 Tl 2.93
Br 0.4159 0.3574 0.7533  2 Tl 3.02-3.21
Br 0.1626 0.1042 0.2467  2 Tl 3.02-3.21
Br 0.5841 0.6042 0.2467  2 Tl 3.02-3.21
Br 0.8374 0.8574 0.7533  2 Tl 3.02-3.21
Br 0.7580 0.7431 0.0177  2 Tl 2.93
Br 0.8416 0.1719 0.5000  2 Tl 3.12-3.16
Br 0.2403 0.2254 0.9823  2 Tl 2.93
Br 0.2420 0.7254 0.9823  2 Tl 2.93
Br 0.1584 0.6719 0.5000  2 Tl 3.12-3.16
Tl 0.8052 0.7803 0.5000  4 Br 3.12-3.21
Tl 0.5000 0.4834 0.0000  6 Br 2.93-3.02
Tl 0.0000 0.9834 0.0000  6 Br 2.93-3.02
Tl 0.1948 0.2803 0.5000  4 Br 3.12-3.21
Cs 0.8725 0.3783 0.7862  8 Br 3.65-4.07
Cs 0.5863 0.0921 0.2138  8 Br 3.65-4.07
Cs 0.1275 0.5921 0.2138  8 Br 3.65-4.07
Cs 0.4137 0.8783 0.7862  8 Br 3.65-4.07

[3]
An optimized crystal structure of Cs6Tl3Br14. Source: Alexandria, functional GGA-PBE.

Summary:
Fermi-level density of states, states/eV/f.u.: 7.0
Symmetry: P3
Theoretical density, g cm⁻³: 3.92
Energy relative to the elements, uncorrected, eV per atom: -1.202
Total magnetization, Bohr magnetons per cell: 0.00

a b c (Å): 6.9677 13.3274 13.3274
angles (deg): 120.00 90.00 90.00
With the nearest neighbours (Å) after each atom.
Fractional coordinates of all 23 atoms:
Br 0.7261 0.4382 0.2566  1 Tl 3.11
Br 0.2741 0.5915 0.4865  1 Tl 3.11
Br 0.4715 0.2577 0.4560  1 Tl 2.63
Br 0.9519 0.7907 0.8644  1 Tl 2.63
Br 0.7261 0.7434 0.1816  1 Tl 3.11
Br 0.4715 0.5440 0.8017  1 Tl 2.63
Br 0.2741 0.5135 0.1050  1 Tl 3.11
Br 0.4715 0.1983 0.7423  1 Tl 2.63
Br 0.9519 0.0737 0.2092  1 Tl 2.63
Br 0.9633 0.3333 0.6667  1 Tl 2.62
Br 0.4391 0.0000 0.0000  1 Tl 2.61
Br 0.2741 0.8950 0.4085  1 Tl 3.11
Br 0.7261 0.8184 0.5618  1 Tl 3.11
Br 0.9519 0.1356 0.9263  1 Tl 2.63
Tl 0.5003 0.6667 0.3333  6 Br 3.11
Tl 0.8135 0.0000 0.0000  4 Br 2.61-2.63
Tl 0.3398 0.3333 0.6667  4 Br 2.62-2.63
Cs 0.7702 0.5501 0.5607  6 Br 3.56-3.91
Cs 0.7702 0.0106 0.4499  6 Br 3.56-3.91
Cs 0.2354 0.3239 0.2198  6 Br 3.56-3.96
Cs 0.2354 0.7802 0.1041  6 Br 3.56-3.96
Cs 0.7702 0.4393 0.9894  6 Br 3.56-3.91
Cs 0.2354 0.8959 0.6761  6 Br 3.56-3.96

[4]
An optimized crystal structure of Cs3Tl2Br8. Source: Alexandria, functional GGA-PBE.

Summary:
Fermi-level density of states, states/eV/f.u.: 2.5
Symmetry: R-3m
Theoretical density, g cm⁻³: 4.06
Energy relative to the elements, uncorrected, eV per atom: -1.118
Total magnetization, Bohr magnetons per cell: 0.00

a b c (Å): 8.1263 8.1263 11.3551
angles (deg): 69.03 69.03 60.00
With the nearest neighbours (Å) after each atom.
Fractional coordinates of all 13 atoms:
Tl 0.4110 0.4110 0.7671  4 Br 2.72-2.73
Tl 0.5890 0.5890 0.2329  4 Br 2.72-2.73
Br 0.3232 0.3232 0.0303  1 Tl 2.72
Br 0.8070 0.2527 0.6877  1 Tl 2.73
Br 0.7473 0.7473 0.3123  1 Tl 2.73
Br 0.1930 0.7473 0.3123  1 Tl 2.73
Br 0.6768 0.6768 0.9697  1 Tl 2.72
Br 0.7473 0.1930 0.3123  1 Tl 2.73
Br 0.2527 0.8070 0.6877  1 Tl 2.73
Br 0.2527 0.2527 0.6877  1 Tl 2.73
Cs 0.2083 0.2083 0.3750  4 Br 3.56-3.85
Cs 0.0000 0.0000 0.0000  6 Br 3.85
Cs 0.7917 0.7917 0.6250  4 Br 3.56-3.85

[5]
An optimized crystal structure of Cs5TlBr8. Source: Alexandria, functional GGA-PBE.

Summary:
Symmetry: I-4
Theoretical density, g cm⁻³: 3.69
Energy relative to the elements, uncorrected, eV per atom: -1.372
Total magnetization, Bohr magnetons per cell: 0.43

a b c (Å): 9.6242 9.6242 9.6242
angles (deg): 102.65 112.99 112.99
With the nearest neighbours (Å) after each atom.
Fractional coordinates of all 14 atoms:
Br 0.3182 0.4486 0.2328  1 Tl 2.67
Br 0.2070 0.3194 0.7316  5 Cs 3.53-3.77
Br 0.4122 0.8876 0.6806  5 Cs 3.53-3.77
Br 0.2158 0.7672 0.0854  1 Tl 2.67
Br 0.5878 0.2684 0.4754  5 Cs 3.53-3.77
Br 0.7842 0.8696 0.5514  1 Tl 2.67
Br 0.6818 0.9146 0.1304  1 Tl 2.67
Br 0.7930 0.5246 0.1124  5 Cs 3.53-3.77
Cs 0.1409 0.9836 0.3999  6 Br 3.53-3.83
Cs 0.8591 0.2590 0.8427  6 Br 3.53-3.83
Cs 0.5837 0.6001 0.7410  6 Br 3.53-3.83
Cs 0.4163 0.1573 0.0164  6 Br 3.53-3.83
Cs 0.0000 0.5000 0.5000  4 Br 3.59
Tl 0.5000 0.7500 0.2500  4 Br 2.67

[6]
An optimized crystal structure of CsTl5Br7. Source: Alexandria, functional GGA-PBE.

Summary:
Fermi-level density of states, states/eV/f.u.: 6.7
Symmetry: C2/m
Theoretical density, g cm⁻³: 5.59
Energy relative to the elements, uncorrected, eV per atom: -0.927
Total magnetization, Bohr magnetons per cell: 0.00

a b c (Å): 4.7644 8.0585 27.7821
angles (deg): 89.95 90.00 107.19
With the nearest neighbours (Å) after each atom.
Fractional coordinates of all 26 atoms:
Br 0.4847 0.9693 0.2502  2 Tl 3.01
Br 0.0900 0.1800 0.8883  5 Tl 3.29-3.39
Br 0.6361 0.2722 0.0396  6 Tl 3.29-3.40
Br 0.0892 0.1785 0.6116  5 Tl 3.29-3.39
Br 0.6364 0.2728 0.4603  6 Tl 3.29-3.40
Br 0.1801 0.3602 0.1717  3 Tl 3.13-3.23
Br 0.5160 0.0319 0.7499  2 Tl 3.01
Br 0.3640 0.7281 0.5396  6 Tl 3.29-3.40
Br 0.1805 0.3609 0.3283  3 Tl 3.13-3.23
Br 0.9107 0.8214 0.1115  5 Tl 3.29-3.39
Br 0.8209 0.6417 0.8283  3 Tl 3.13-3.22
Br 0.9114 0.8227 0.3885  5 Tl 3.29-3.39
Br 0.8198 0.6396 0.6717  3 Tl 3.13-3.23
Br 0.3644 0.7288 0.9603  6 Tl 3.29-3.40
Tl 0.7206 0.4412 0.9264  6 Br 3.13-3.40
Tl 0.2804 0.5609 0.4265  6 Br 3.13-3.40
Tl 0.4547 0.9095 0.8528  6 Br 3.01-3.31
Tl 0.2800 0.5600 0.0735  6 Br 3.13-3.40
Tl 0.4540 0.9079 0.6471  6 Br 3.01-3.31
Tl 0.7200 0.4400 0.5735  6 Br 3.13-3.40
Tl 0.5464 0.0929 0.3530  6 Br 3.01-3.31
Tl 0.0003 0.0005 0.5001  6 Br 3.36-3.39
Tl 0.5459 0.0919 0.1472  6 Br 3.01-3.32
Tl 0.0003 0.0006 0.9999  6 Br 3.36-3.39
Cs 0.1980 0.3960 0.7503  6 Br 3.68-3.74
Cs 0.8026 0.6053 0.2498  6 Br 3.68-3.74

[7]
An optimized crystal structure of Cs2TlBr3. Source: Alexandria, functional GGA-PBE.

Summary:
Fermi-level density of states, states/eV/f.u.: 0.0
Energy relative to the lowest polymorph listed for this composition, kJ per mole of atoms: 4.3
Symmetry: Cmcm
Theoretical density, g cm⁻³: 4.24
Energy relative to the elements, uncorrected, eV per atom: -1.427
Total magnetization, Bohr magnetons per cell: 0.00

a b c (Å): 4.7251 8.8441 13.5168
angles (deg): 90.00 100.07 90.00
With the nearest neighbours (Å) after each atom.
Fractional coordinates of all 12 atoms:
Cs 0.0104 0.2500 0.0209  8 Br 3.79-3.94
Cs 0.8439 0.2500 0.6877  6 Br 3.59-3.77
Cs 0.1561 0.7500 0.3123  6 Br 3.59-3.77
Cs 0.9896 0.7500 0.9791  8 Br 3.79-3.94
Br 0.2421 0.2500 0.4843  2 Tl 3.15
Br 0.7579 0.7500 0.5157  2 Tl 3.15
Br 0.5785 0.5146 0.1569  1 Tl 3.27
Br 0.4215 0.4854 0.8431  1 Tl 3.27
Br 0.4215 0.0146 0.8431  1 Tl 3.27
Br 0.5785 0.9854 0.1569  1 Tl 3.27
Tl 0.6641 0.2500 0.3282  4 Br 3.15-3.27
Tl 0.3359 0.7500 0.6718  4 Br 3.15-3.27

[8]
An optimized crystal structure of CsTl3Br4. Source: Alexandria, functional GGA-PBE.

Summary:
Fermi-level density of states, states/eV/f.u.: 0.0
Symmetry: C2/m
Theoretical density, g cm⁻³: 5.37
Energy relative to the elements, uncorrected, eV per atom: -1.084
Total magnetization, Bohr magnetons per cell: 0.00

a b c (Å): 4.9047 8.4459 8.4459
angles (deg): 70.35 90.17 90.17
With the nearest neighbours (Å) after each atom.
Fractional coordinates of all 8 atoms:
Tl 0.9998 0.0002 0.9999  6 Br 3.45-3.46
Tl 0.0001 0.5001 0.4999  6 Br 3.45-3.46
Tl 0.5000 0.0002 0.4999  6 Br 3.36
Br 0.4992 0.2435 0.7436  5 Tl 3.36-3.46, 1 Cs 3.54
Br 0.0000 0.2359 0.2642  4 Tl 3.36-3.45, 2 Cs 3.55
Br 0.0000 0.7645 0.7356  4 Tl 3.36-3.45, 2 Cs 3.55
Br 0.5006 0.7565 0.2566  5 Tl 3.36-3.46, 1 Cs 3.54
Cs 0.5000 0.5002 0.9999  6 Br 3.54-3.55